{
  "formula": "CaPuIrPt",
  "functional": "GGA-PBE",
  "state": "optimized geometry",
  "cell": [[4.887, 0.000, 0.000], [2.444, 4.233, 0.000], [2.444, 1.411, 3.990]],
  "species": ["Ir", "Pu", "Ca", "Pt"],
  "frac_coords": [[0.250, 0.250, 0.250], [0.000, 0.000, 0.000], [0.500, 0.500, 0.500], [0.750, 0.750, 0.750]],
  "magnetic_moment_mub_per_cell": 4.72,
  "formation_energy_mev_per_atom": -545,
  "mass_density_g_cm3": 13.51
}